A PBEsol-optimized structure of LiCdI3, computed with meta-GGA SCAN.

a = 5.8278 Å, b = 5.8278 Å, c = 5.8278 Å
α = 90.00°, β = 90.00°, γ = 90.00°
Last column: nearest neighbours and their distance in Å.
Space group Pm-3m (No. 221)
Inequivalent atoms, fractional coordinates:
Li: 0.0000 0.0000 0.0000 (multiplicity 1)  12 I 4.12
Cd: 0.5000 0.5000 0.5000 (multiplicity 1)  6 I 2.91
I: 0.0000 0.5000 0.5000 (multiplicity 3)  2 Cd 2.91

Calculated values
Calculated volume: 39.59 A^3/atom
M_tot: 0.000 μB/f.u.
Energy relative to the elements, uncorrected: -0.57 eV/atom
Total DFT energy (no corrections): -29.179 eV/atom

A PBEsol-optimized structure of LiCdTeI2, computed with meta-GGA SCAN.

a = 5.2955 Å, b = 5.2955 Å, c = 5.2438 Å
α = 90.00°, β = 90.00°, γ = 90.00°
Last column: nearest neighbours and their distance in Å.
Space group P4/mmm (No. 123)
Inequivalent atoms, fractional coordinates:
Li: 0.0000 0.0000 0.0000 (multiplicity 1)  2 Te 2.62, 4 I 2.65
Cd: 0.5000 0.5000 0.5000 (multiplicity 1)  8 I 3.73, 4 Te 3.74
Te: 0.0000 0.0000 0.5000 (multiplicity 1)  2 Li 2.62
I: 0.0000 0.5000 0.0000 (multiplicity 2)  2 Li 2.65

Calculated values
Calculated volume: 29.41 A^3/atom
M_tot: 0.001 μB/f.u.
Energy relative to the elements, uncorrected: 0.00 eV/atom
Total DFT energy (no corrections): -28.706 eV/atom

A PBEsol-optimized structure of MgCdSb2I, computed with meta-GGA SCAN.

a = 5.4324 Å, b = 5.4324 Å, c = 5.4548 Å
α = 90.00°, β = 90.00°, γ = 90.00°
Last column: nearest neighbours and their distance in Å.
Space group P4/mmm (No. 123)
Inequivalent atoms, fractional coordinates:
Mg: 0.0000 0.0000 0.0000 (multiplicity 1)  4 Sb 2.72, 2 I 2.73
Cd: 0.5000 0.5000 0.5000 (multiplicity 1)  4 I 3.84, 8 Sb 3.85
Sb: 0.0000 0.5000 0.0000 (multiplicity 2)  2 Mg 2.72
I: 0.0000 0.0000 0.5000 (multiplicity 1)  2 Mg 2.73

Calculated values
Calculated volume: 32.20 A^3/atom
M_tot: 0.000 μB/f.u.
Energy relative to the elements, uncorrected: 0.43 eV/atom
Total DFT energy (no corrections): -28.897 eV/atom

A PBEsol-optimized structure of MgTa2CdI, computed with meta-GGA SCAN.

a = 4.9997 Å, b = 4.9997 Å, c = 5.4279 Å
α = 90.00°, β = 90.00°, γ = 90.00°
Last column: nearest neighbours and their distance in Å.
Space group P4/mmm (No. 123)
Inequivalent atoms, fractional coordinates:
Mg: 0.0000 0.0000 0.0000 (multiplicity 1)  4 Cd 3.54, 8 Ta 3.69
Ta: 0.0000 0.5000 0.5000 (multiplicity 2)  2 I 2.50
Cd: 0.5000 0.5000 0.0000 (multiplicity 1)  2 I 2.71
I: 0.5000 0.5000 0.5000 (multiplicity 1)  4 Ta 2.50, 2 Cd 2.71

Calculated values
Calculated volume: 27.14 A^3/atom
M_tot: 0.000 μB/f.u.
Energy relative to the elements, uncorrected: 1.95 eV/atom
Total DFT energy (no corrections): -39.113 eV/atom

A PBEsol-optimized structure of Mg2CdTeI, computed with meta-GGA SCAN.

a = 5.7044 Å, b = 5.7044 Å, c = 5.8160 Å
α = 90.00°, β = 90.00°, γ = 90.00°
Last column: nearest neighbours and their distance in Å.
Space group P4/mmm (No. 123)
Inequivalent atoms, fractional coordinates:
Mg: 0.0000 0.5000 0.0000 (multiplicity 2)  2 I 2.85
Cd: 0.0000 0.0000 0.5000 (multiplicity 1)  4 Te 4.03, 8 Mg 4.07
Te: 0.5000 0.5000 0.5000 (multiplicity 1)  2 I 2.91
I: 0.5000 0.5000 0.0000 (multiplicity 1)  4 Mg 2.85, 2 Te 2.91

Calculated values
Calculated volume: 37.85 A^3/atom
M_tot: 0.000 μB/f.u.
Energy relative to the elements, uncorrected: 0.58 eV/atom
Total DFT energy (no corrections): -22.292 eV/atom

A PBEsol-optimized structure of ScMn2CdI, computed with meta-GGA SCAN.

a = 4.7078 Å, b = 4.7078 Å, c = 5.6241 Å
α = 90.00°, β = 90.00°, γ = 90.00°
Last column: nearest neighbours and their distance in Å.
Space group P4/mmm (No. 123)
Inequivalent atoms, fractional coordinates:
Sc: 0.0000 0.0000 0.0000 (multiplicity 1)  4 Cd 3.33, 8 Mn 3.67
Mn: 0.0000 0.5000 0.5000 (multiplicity 2)  2 I 2.35
Cd: 0.5000 0.5000 0.0000 (multiplicity 1)  2 I 2.81
I: 0.5000 0.5000 0.5000 (multiplicity 1)  4 Mn 2.35

Calculated values
Calculated volume: 24.93 A^3/atom
M_tot: 5.682 μB/f.u.
Energy relative to the elements, uncorrected: 1.02 eV/atom
Total DFT energy (no corrections): -22.565 eV/atom

- The highest M_tot belongs to which entry?
  ScMn2CdI